1.
This record from the Alexandria database describes a geometry-optimized LiLuInFe structure. The functional is GGA-PBE.

Calculated values
* DFT formation energy: -0.0444 eV per atom
* mass density: 8.0 Mg/m³
* VASP energy: -4.45 eV per atom
* density of states at the Fermi level: 1.925 states/eV per atom

Cell lengths 6.638, 6.638, 6.638 Å; angles 90.00, 90.00, 90.00 degrees
Space group F-43m (No. 216)
Symmetry-distinct sites (fractional):
Li (0.000, 0.000, 0.000)
Lu (0.250, 0.250, 0.750)
In (0.250, 0.250, 0.250)
Fe (0.000, 0.000, 0.500)

=====

2.
This record from the Alexandria database describes a geometry-optimized Pu3Si3Pt2 structure. The functional is GGA-PBE.

Calculated values
* mass density: 12.8 Mg/m³
* formation energy from raw total energies: -0.734 eV per atom
* VASP energy: -9.65 eV per atom
* density of states at the Fermi level: 3.509 states/eV per atom

Cell lengths 4.275, 10.408, 14.025 Å; angles 90.00, 90.00, 90.00 degrees
Space group Cmcm (No. 63)
Symmetry-distinct sites (fractional):
Pu (0.000, 0.075, 0.115)
Pu (0.000, 0.362, 0.250)
Si (0.000, 0.345, 0.750)
Si (0.000, 0.387, 0.036)
Pt (0.000, 0.211, 0.599)

=====

3.
This record from the Alexandria database describes a geometry-optimized LiCeTeO5 structure. The functional is GGA-PBE.

Calculated values
* mass density: 4.5 Mg/m³
* formation energy from raw total energies: -1.926 eV per atom
* VASP energy: -6.40 eV per atom
* density of states at the Fermi level: 0.325 states/eV per atom

Cell lengths 6.670, 11.049, 7.606 Å; angles 90.00, 110.41, 90.00 degrees
Space group C2/c (No. 15)
Symmetry-distinct sites (fractional):
Li (0.000, 0.003, 0.250)
Ce (0.250, 0.250, 0.500)
Te (0.000, 0.486, 0.750)
O (0.000, 0.186, 0.250)
O (0.007, 0.373, 0.564)
O (0.213, 0.063, 0.646)

=====

4.
This record from the Alexandria database describes a geometry-optimized RbHgTe3 structure. The functional is GGA-PBE.

Calculated values
* relative energy among the computed polymorphs: 4.541 eV per formula unit
* mass density: 3.4 Mg/m³
* formation energy from raw total energies: 0.739 eV per atom
* VASP energy: -1.40 eV per atom
* density of states at the Fermi level: 1.673 states/eV per atom

Cell lengths 6.895, 6.895, 6.895 Å; angles 90.00, 90.00, 90.00 degrees
Space group Pm-3m (No. 221)
Symmetry-distinct sites (fractional):
Rb (0.000, 0.000, 0.000)
Hg (0.500, 0.500, 0.500)
Te (0.000, 0.000, 0.500)

=====

5.
This record from the Alexandria database describes a geometry-optimized ZrPd structure. The functional is GGA-PBE.

Calculated values
* DFT formation energy: 0.2898 eV per atom
* mass density: 6.1 Mg/m³
* VASP energy: -6.58 eV per atom
* density of states at the Fermi level: 0.133 states/eV per atom

Cell lengths 6.009, 6.009, 6.009 Å; angles 90.00, 90.00, 90.00 degrees
Space group F-43m (No. 216)
Symmetry-distinct sites (fractional):
Zr (0.000, 0.000, 0.000)
Pd (0.250, 0.250, 0.750)

=====

6.
This record from the Alexandria database describes a geometry-optimized CeTmPu2 structure. The functional is GGA-PBE.

Calculated values
* relative energy among the computed polymorphs: 0.088 eV per formula unit
* DFT formation energy: 0.1622 eV per atom
* mass density: 12.0 Mg/m³
* VASP energy: -9.61 eV per atom
* density of states at the Fermi level: 2.793 states/eV per atom

Cell lengths 4.836, 4.836, 4.711 Å; angles 90.00, 90.00, 90.00 degrees
Space group P4/mmm (No. 123)
Symmetry-distinct sites (fractional):
Ce (0.000, 0.000, 0.000)
Tm (0.500, 0.500, 0.000)
Pu (0.000, 0.500, 0.500)